No. 1
The following is a GGA-PBE calculation of crystalline Li3Cu2PtO6 at its relaxed geometry, from the Alexandria database.

Cell lengths 5.3172, 8.9616, 5.1687 Å; angles 90.00, 111.67, 90.00 degrees
Space group C2/m (No. 12)
Symmetry-distinct sites (fractional):
Li (0.0000, 0.0000, 0.0000) x2
Li (0.0000, 0.3275, 0.0000) x4
Cu (0.0000, 0.1671, 0.5000) x4
Pt (0.0000, 0.5000, 0.5000) x2
O (0.2341, 0.3342, 0.7379) x8
O (0.2491, 0.0000, 0.7194) x4

* formation energy from raw total energies: -1070 meV per atom

=====

No. 2
The following is a GGA-PBE calculation of crystalline LiCuPtO4 at its relaxed geometry, from the Alexandria database.

Cell lengths 5.6925, 6.1793, 9.0867 Å; angles 90.00, 90.00, 90.00 degrees
Space group Imma (No. 74)
Symmetry-distinct sites (fractional):
Li (0.0000, 0.2500, 0.1559) x4
Cu (0.2500, 0.2500, 0.7500) x4
Pt (0.0000, 0.0000, 0.5000) x4
O (0.0000, 0.0441, 0.7202) x8
O (0.2273, 0.2500, 0.4777) x8

* formation energy from raw total energies: -870 meV per atom

=====

No. 3
The following is a GGA-PBE calculation of crystalline LiPuCu2O6 at its relaxed geometry, from the Alexandria database.

Cell lengths 10.8724, 7.8365, 6.9680 Å; angles 90.00, 110.78, 90.00 degrees
Space group C2/c (No. 15)
Symmetry-distinct sites (fractional):
Li (0.0000, 0.1302, 0.2500) x4
Pu (0.0000, 0.2546, 0.7500) x4
Cu (0.1863, 0.4340, 0.1142) x8
O (0.0342, 0.2788, 0.0486) x8
O (0.1280, 0.0602, 0.7862) x8
O (0.1537, 0.4320, 0.8205) x8

* formation energy from raw total energies: -1492 meV per atom

=====

Number 1: size of the total moment 0.252 μB/atom. Number 2: size of the total moment 0.057 μB/atom. Number 3: size of the total moment 0.051 μB/atom.